{"formula": "HfBe", "functional": "PBE", "state": "relaxed", "space_group": "Fm-3m", "vol_a3_per_atom": 16.6, "lattice_angstrom": [[0.0000, 2.5517, 2.5517], [2.5517, 0.0000, 2.5517], [2.5517, 2.5517, 0.0000]], "species": ["Hf", "Be"], "fractional_positions": [[0.0000, 0.0000, 0.0000], [0.5000, 0.5000, 0.5000]]}

{"formula": "HfBe4", "functional": "PBE", "state": "relaxed", "space_group": "Pm-3m", "vol_a3_per_atom": 20.2, "de_polymorph_kj_per_mol_fu": 1072, "lattice_angstrom": [[4.6567, 0.0000, 0.0000], [0.0000, 4.6567, 0.0000], [0.0000, 0.0000, 4.6567]], "species": ["Hf", "Be", "Be", "Be", "Be"], "fractional_positions": [[0.0000, 0.0000, 0.0000], [0.0000, 0.0000, 0.5000], [0.0000, 0.5000, 0.0000], [0.5000, 0.0000, 0.0000], [0.5000, 0.5000, 0.5000]]}

{"formula": "HfBe", "functional": "PBE", "state": "relaxed", "space_group": "Immm", "vol_a3_per_atom": 16.6, "lattice_angstrom": [[-1.5808, 2.0365, 2.5704], [1.5808, -2.0365, 2.5704], [1.5808, 2.0365, -2.5704]], "species": ["Hf", "Be"], "fractional_positions": [[0.0000, 0.0000, 0.0000], [0.5000, 0.5000, 0.0000]]}

{"formula": "HfBe", "functional": "PBE", "state": "relaxed", "space_group": "P4/m", "vol_a3_per_atom": 17.8, "lattice_angstrom": [[7.9381, 0.0000, 0.0000], [0.0000, 7.9381, 0.0000], [0.0000, 0.0000, 4.5317]], "species": ["Hf", "Hf", "Hf", "Hf", "Hf", "Hf", "Hf", "Hf", "Be", "Be", "Be", "Be", "Be", "Be", "Be", "Be"], "fractional_positions": [[0.0681, 0.6712, 0.0000], [0.1492, 0.2329, 0.5000], [0.2329, 0.8508, 0.5000], [0.3288, 0.0681, 0.0000], [0.6712, 0.9319, 0.0000], [0.7671, 0.1492, 0.5000], [0.8508, 0.7671, 0.5000], [0.9319, 0.3288, 0.0000], [0.1310, 0.5456, 0.5000], [0.2950, 0.4219, 0.0000], [0.4219, 0.7050, 0.0000], [0.4544, 0.1310, 0.5000], [0.5456, 0.8690, 0.5000], [0.5781, 0.2950, 0.0000], [0.7050, 0.5781, 0.0000], [0.8690, 0.4544, 0.5000]]}

Result set for formation enthalpy at 0 K: 374.8 2172.9 297.3 514.6 meV per atom, one per record in the order listed.
Result set for energy: -0.4752 -0.2057 -0.4809 -0.4649 Ry per atom, one per record in the order listed.